## A
This record from the Alexandria database describes a relaxed CsTa3P crystal. The functional is PBE.

Cell lengths 4.8286, 4.8286, 4.8286 Å; angles 90.00, 90.00, 90.00 degrees
Closest atoms and distances in Å follow each position.
Space group Pm-3m (No. 221)
Inequivalent atoms, fractional coordinates:
1 Cs 0.0000 0.0000 0.0000  12 Ta 3.41
2 Ta 0.0000 0.5000 0.5000  2 P 2.41
3 P 0.5000 0.5000 0.5000  6 Ta 2.41

Output
ρ ... 10.42 g cm⁻³

=====

## B
This record from the Alexandria database describes a relaxed CsTa3P crystal. The functional is PBE.

Cell lengths 5.0254, 5.0254, 5.0254 Å; angles 90.00, 90.00, 90.00 degrees
Closest atoms and distances in Å follow each position.
Space group Pm-3m (No. 221)
Inequivalent atoms, fractional coordinates:
1 Cs 0.0000 0.0000 0.0000  6 Ta 2.51
2 Ta 0.0000 0.0000 0.5000  2 Cs 2.51
3 P 0.5000 0.5000 0.5000  12 Ta 3.55

Output
ρ ... 9.25 g cm⁻³

=====

Least stable structure: B